The following is a PBE calculation of a relaxed structure of KHPd3, from Alexandria.

For the energy above the most stable polymorph in this dataset, the calculation gives 1745 meV/atom.

The structure belongs to space group Pm-3m (No. 221); the cell edges are 5.166, 5.166 and 5.166 Å and the angles 90.00°, 90.00° and 90.00°. The distinct sites, in fractional coordinates, are K at (0.000, 0.000, 0.000), H at (0.500, 0.500, 0.500) and Pd at (0.000, 0.000, 0.500).

***

The following is a PBE calculation of a relaxed structure of K2H3Pd, from Alexandria.

For the energy above the most stable polymorph in this dataset, the calculation gives 149 meV/atom.

The structure belongs to space group C2/m (No. 12); the cell edges are 7.117, 13.311 and 5.801 Å and the angles 90.00°, 121.46° and 90.00°. The distinct sites, in fractional coordinates, are K at (0.000, 0.000, 0.000), K at (0.000, 0.210, 0.500), K at (0.000, 0.500, 0.500), H at (0.164, 0.500, 0.191), H at (0.176, 0.371, 0.889) and Pd at (0.000, 0.389, 0.000).